# DyHo2Er5Mg

A relaxed structure of DyHo2Er5Mg (PBE, Alexandria).

Values from the calculation:
D(E_F) = 25.26 states/eV per cell
Crystal system = orthorhombic
ΔE_f = 109 meV per atom
Size of the total moment = 0.0000 μB/atom

a = 5.3618 Å, b = 10.3038 Å, c = 10.3665 Å
α = 90.00°, β = 90.00°, γ = 105.08°
With the nearest neighbours (Å) after each atom.
Fractional positions:
Dy: 0.7941 0.5883 0.5083  7 Er 3.40-3.52, 2 Mg 3.47, 2 Ho 3.48-3.49
Dy: 0.2059 0.4117 0.0083  7 Er 3.40-3.52, 2 Mg 3.47, 2 Ho 3.48-3.49
Ho: 0.8853 0.7705 0.7956  9 Er 3.37-3.60, 1 Dy 3.49
Ho: 0.1147 0.2294 0.7213  9 Er 3.37-3.59, 1 Dy 3.48
Ho: 0.1147 0.2295 0.2956  9 Er 3.37-3.60, 1 Dy 3.49
Ho: 0.8853 0.7706 0.2213  9 Er 3.37-3.59, 1 Dy 3.48
Er: 0.3829 0.7659 0.0084  4 Ho 3.47, 6 Er 3.48-3.73, 1 Dy 3.52
Er: 0.7105 0.4209 0.8074  1 Mg 3.09, 2 Er 3.27, 2 Dy 3.40, 2 Ho 3.41
Er: 0.4998 0.9996 0.7580  2 Mg 3.21, 2 Er 3.48, 4 Ho 3.54
Er: 0.2898 0.5796 0.7091  1 Mg 3.10, 2 Er 3.27, 2 Dy 3.40, 2 Ho 3.41
Er: 0.9866 0.9731 0.5084  2 Mg 3.13, 2 Ho 3.37
Er: 0.6171 0.2341 0.5084  4 Ho 3.47, 6 Er 3.48-3.73, 1 Dy 3.52
Er: 0.2895 0.5791 0.3074  1 Mg 3.09, 2 Er 3.27, 2 Dy 3.40, 2 Ho 3.41
Er: 0.5002 0.0004 0.2580  2 Mg 3.21, 2 Er 3.48, 4 Ho 3.54
Er: 0.7102 0.4204 0.2091  1 Mg 3.10, 2 Er 3.27, 2 Dy 3.40, 2 Ho 3.41
Er: 0.0134 0.0269 0.0084  2 Mg 3.13, 2 Ho 3.37
Mg: 0.5950 0.1901 0.0075  6 Er 3.09-3.21
Mg: 0.4050 0.8099 0.5075  6 Er 3.09-3.21